A plane-wave DFT calculation with PBE was carried out for an optimized crystal structure of Tb6Ho2Cd.

Cell: 4.9749 10.4947 10.4939 Å, 90.00 90.00 90.00°
Closest atoms and distances in Å follow each position.
Atoms (fractional coordinates):
Ho 0.9998 0.3344 0.8345  10 Tb 3.45-3.56, 2 Cd 3.50
Cd 0.0000 0.0000 0.5000  8 Tb 3.47-3.49, 4 Ho 3.50
Tb 0.5000 0.1631 0.6632  4 Ho 3.45-3.56, 2 Cd 3.47, 6 Tb 3.51-3.53
Tb 0.0000 0.6633 0.8370  4 Ho 3.45-3.56, 2 Cd 3.47, 6 Tb 3.51-3.53
Tb 0.4999 0.1672 0.9995  1 Cd 3.49, 3 Ho 3.50-3.51, 8 Tb 3.51-3.53
Tb 0.5000 0.5005 0.3326  1 Cd 3.49, 3 Ho 3.50-3.52, 8 Tb 3.51-3.53
Ho 0.5002 0.8345 0.6656  10 Tb 3.45-3.56, 2 Cd 3.50
Tb 0.5000 0.4995 0.6674  1 Cd 3.49, 3 Ho 3.50-3.52, 8 Tb 3.51-3.53
Cd 0.5000 0.5000 0.0000  8 Tb 3.47-3.49, 4 Ho 3.50
Tb 0.0000 0.0005 0.1673  1 Cd 3.49, 3 Ho 3.50-3.51, 8 Tb 3.51-3.53
Tb 0.0000 0.3367 0.1630  4 Ho 3.45-3.56, 2 Cd 3.47, 6 Tb 3.51-3.53
Tb 0.5001 0.8328 0.0005  1 Cd 3.49, 3 Ho 3.50-3.51, 8 Tb 3.51-3.53
Tb 0.9999 0.3327 0.4995  1 Cd 3.49, 3 Ho 3.50-3.52, 8 Tb 3.51-3.53
Tb 0.5000 0.8369 0.3368  4 Ho 3.45-3.56, 2 Cd 3.47, 6 Tb 3.51-3.53
Ho 0.4998 0.1655 0.3344  10 Tb 3.45-3.56, 2 Cd 3.50
Ho 0.0002 0.6656 0.1655  10 Tb 3.45-3.56, 2 Cd 3.50
Tb 0.0000 0.9995 0.8327  1 Cd 3.49, 3 Ho 3.50-3.51, 8 Tb 3.51-3.53
Tb 0.0001 0.6673 0.5005  1 Cd 3.49, 3 Ho 3.50-3.52, 8 Tb 3.51-3.53

Values from the calculation:
DOS(E_F): 1.47 states/eV/atom
Energy relative to the lowest polymorph listed for this composition: 0.213 eV/f.u.
Final energy: -4.22 eV per atom
SG: P4_2/mnm


A plane-wave DFT calculation with PBE was carried out for an optimized crystal structure of AlCdIn2Se6.

Cell: 7.0589 9.8303 9.8303 Å, 91.62 72.30 72.30°
Closest atoms and distances in Å follow each position.
Atoms (fractional coordinates):
Se 0.5836 0.0969 0.6361  1 Al 2.43, 1 In 2.64, 1 Cd 2.69
Se 0.6163 0.8242 0.9664  1 Al 2.45, 1 In 2.62
In 0.1810 0.4056 0.2263  4 Se 2.62-2.65
In 0.8190 0.5944 0.7737  4 Se 2.62-2.65
Se 0.0836 0.6361 0.0969  1 Al 2.43, 1 In 2.64, 1 Cd 2.69
Se 0.4164 0.9031 0.3639  1 Al 2.43, 1 In 2.64, 1 Cd 2.69
Se 0.4526 0.4608 0.3365  2 In 2.62-2.65
Cd 0.7500 0.1737 0.8263  4 Se 2.69-2.76
Se 0.1163 0.9664 0.8242  1 Al 2.45, 1 In 2.62
Al 0.2500 0.1677 0.8323  4 Se 2.43-2.45
Al 0.7500 0.8323 0.1677  4 Se 2.43-2.45
Se 0.9526 0.3365 0.4608  2 In 2.62-2.65
Se 0.0474 0.6635 0.5392  2 In 2.62-2.65
Se 0.5474 0.5392 0.6635  2 In 2.62-2.65
In 0.3190 0.7737 0.5944  4 Se 2.62-2.65
Cd 0.2500 0.8263 0.1737  4 Se 2.69-2.76
In 0.6810 0.2263 0.4056  4 Se 2.62-2.65
Se 0.8837 0.0336 0.1758  1 Al 2.45, 1 In 2.62
Se 0.3837 0.1758 0.0336  1 Al 2.45, 1 In 2.62
Se 0.9164 0.3639 0.9031  1 Al 2.43, 1 In 2.64, 1 Cd 2.69

Values from the calculation:
DOS(E_F): 0.27 states/eV/atom
Final energy: -3.58 eV per atom
SG: C2/c


A plane-wave DFT calculation with PBE was carried out for an optimized crystal structure of Ta3TcRu.

Cell: 4.7200 4.7200 4.7200 Å, 90.00 90.00 90.00°
Closest atoms and distances in Å follow each position.
Atoms (fractional coordinates):
Ta 0.0000 0.0000 0.5000  2 Tc 2.36
Ta 0.5000 0.0000 0.0000  2 Tc 2.36
Ru 0.5000 0.5000 0.5000  12 Ta 3.34
Ta 0.0000 0.5000 0.0000  2 Tc 2.36
Tc 0.0000 0.0000 0.0000  6 Ta 2.36

Values from the calculation:
DOS(E_F): 1.59 states/eV/atom
Final energy: -9.61 eV per atom
SG: Pm-3m